Below is a relaxed structure of Li2ThAlZn4, with properties calculated at the GGA-PBE level.

Cell: 4.328 4.328 9.221 Å, 76.43 76.43 60.00°
Atoms (fractional coordinates):
1 Li 0.768 0.768 0.695
2 Li 0.232 0.232 0.305
3 Th 0.000 0.000 0.000
4 Al 0.500 0.500 0.500
5 Zn 0.402 0.402 0.794
6 Zn 0.878 0.878 0.367
7 Zn 0.122 0.122 0.633
8 Zn 0.598 0.598 0.206

crystal system: trigonal
calculated density: 6.165 g cm⁻³
DOS at the Fermi energy: 0.44 states/eV per atom
symmetry: R-3m (166)
formation enthalpy at 0 K: -156 meV per atom